Record 1
Entry from OQMD: Co5IrW2 after structural relaxation (PBE-GGA).

a = 4.1455 Å, b = 5.1857 Å, c = 5.1857 Å
α = 60.61°, β = 90.00°, γ = 90.00°
Closest atoms and distances in Å follow each position.
Sites, in units of the cell vectors:
Co (0.0000, 0.0000, 0.0000)  8 Co 2.53-2.66, 4 W 2.57-2.62
Co (0.0000, 0.4920, 0.9916)  4 W 2.50-2.68, 6 Co 2.53-2.66, 2 Ir 2.56
Co (0.0000, 0.9916, 0.4920)  4 W 2.50-2.68, 6 Co 2.53-2.66, 2 Ir 2.56
Co (0.5000, 0.3239, 0.8367)  2 Ir 2.52-2.67, 6 Co 2.53-2.68, 4 W 2.56-2.61
Co (0.5000, 0.8367, 0.3239)  2 Ir 2.52-2.67, 6 Co 2.53-2.68, 4 W 2.56-2.61
Ir (0.5000, 0.3228, 0.3228)  8 Co 2.52-2.67, 4 W 2.62-2.63
W (0.0000, 0.5034, 0.5034)  10 Co 2.50-2.68, 2 Ir 2.63
W (0.5000, 0.8310, 0.8310)  10 Co 2.57-2.61, 2 Ir 2.62

Calculated values
Its space group is Amm2, No. 38. The total DFT energy (no corrections) comes out at -8.91 eV per atom.


Record 2
Entry from OQMD: Co2IrW after structural relaxation (PBE-GGA).

a = 4.1914 Å, b = 5.3013 Å, c = 5.3013 Å
α = 60.28°, β = 90.00°, γ = 90.00°
Closest atoms and distances in Å follow each position.
Sites, in units of the cell vectors:
Co (0.0000, 0.0000, 0.0000)  4 Ir 2.59, 4 W 2.60-2.66, 4 Co 2.63-2.67
Co (0.0000, 0.0086, 0.4993)  4 W 2.55-2.75, 6 Co 2.57-2.71, 2 Ir 2.59
Co (0.0000, 0.4993, 0.0086)  4 W 2.55-2.75, 6 Co 2.57-2.71, 2 Ir 2.59
Co (0.5000, 0.3305, 0.3305)  4 Co 2.57, 4 W 2.57-2.66, 4 Ir 2.58-2.72
Ir (0.5000, 0.3302, 0.8440)  6 Co 2.58-2.72, 2 Ir 2.59-2.74, 4 W 2.63-2.67
Ir (0.5000, 0.8440, 0.3302)  6 Co 2.58-2.72, 2 Ir 2.59-2.74, 4 W 2.63-2.67
W (0.0000, 0.4932, 0.4932)  8 Co 2.55-2.75, 4 Ir 2.65
W (0.5000, 0.8325, 0.8325)  8 Co 2.60-2.66, 4 Ir 2.63-2.67

Calculated values
Its space group is Amm2, No. 38. The total DFT energy (no corrections) comes out at -9.17 eV per atom.


Record 3
Entry from OQMD: Co2IrW after structural relaxation (PBE-GGA).

a = 5.2540 Å, b = 5.2540 Å, c = 4.1951 Å
α = 90.00°, β = 90.00°, γ = 118.88°
Closest atoms and distances in Å follow each position.
Sites, in units of the cell vectors:
Co (0.1684, 0.3280, 0.2500)  4 Co 2.55-2.69, 4 W 2.55-2.70, 4 Ir 2.56-2.70
Co (0.3280, 0.1684, 0.7500)  4 Co 2.55-2.69, 4 W 2.55-2.70, 4 Ir 2.56-2.70
Co (0.6720, 0.8316, 0.2500)  4 Co 2.55-2.69, 4 W 2.55-2.70, 4 Ir 2.56-2.70
Co (0.8316, 0.6720, 0.7500)  4 Co 2.55-2.69, 4 W 2.55-2.70, 4 Ir 2.56-2.70
Ir (0.3391, 0.6609, 0.7500)  8 Co 2.56-2.70, 4 W 2.64-2.67
Ir (0.6609, 0.3391, 0.2500)  8 Co 2.56-2.70, 4 W 2.64-2.67
W (0.1613, 0.8387, 0.2500)  8 Co 2.55-2.70, 4 Ir 2.64-2.67
W (0.8387, 0.1613, 0.7500)  8 Co 2.55-2.70, 4 Ir 2.64-2.67

Calculated values
Its space group is Cmcm, No. 63. The total DFT energy (no corrections) comes out at -9.20 eV per atom.


Record 4
Entry from OQMD: Co2IrW after structural relaxation (PBE-GGA).

a = 4.2285 Å, b = 5.3011 Å, c = 5.3011 Å
α = 120.60°, β = 90.00°, γ = 90.00°
Closest atoms and distances in Å follow each position.
Sites, in units of the cell vectors:
Co (0.2500, 0.0806, 0.9194)  2 Ir 2.56-2.69, 6 Co 2.58-2.72, 4 W 2.59-2.70
Co (0.2500, 0.5955, 0.9241)  4 W 2.53-2.72, 4 Co 2.58-2.72, 4 Ir 2.59-2.66
Co (0.7500, 0.9194, 0.0806)  2 Ir 2.56-2.69, 6 Co 2.58-2.72, 4 W 2.59-2.70
Co (0.7500, 0.9241, 0.5955)  4 W 2.53-2.72, 4 Co 2.58-2.72, 4 Ir 2.59-2.66
Ir (0.2500, 0.5981, 0.4272)  6 Co 2.56-2.69, 4 W 2.58-2.73, 2 Ir 2.64
Ir (0.7500, 0.4272, 0.5981)  6 Co 2.56-2.69, 4 W 2.58-2.73, 2 Ir 2.64
W (0.2500, 0.0743, 0.4079)  8 Co 2.53-2.72, 4 Ir 2.58-2.73
W (0.7500, 0.4079, 0.0743)  8 Co 2.53-2.72, 4 Ir 2.58-2.73

Calculated values
Its space group is Ama2, No. 40. The total DFT energy (no corrections) comes out at -9.17 eV per atom.


Record 5
Entry from OQMD: ZnCoIrW after structural relaxation (PBE-GGA).

a = 4.2844 Å, b = 4.2844 Å, c = 4.2844 Å
α = 60.00°, β = 60.00°, γ = 60.00°
Closest atoms and distances in Å follow each position.
Sites, in units of the cell vectors:
Zn (0.0000, 0.0000, 0.0000)  4 W 2.62, 4 Co 2.62
Co (0.2500, 0.2500, 0.2500)  4 Ir 2.62, 4 Zn 2.62
Ir (0.5000, 0.5000, 0.5000)  4 W 2.62, 4 Co 2.62
W (0.7500, 0.7500, 0.7500)  4 Ir 2.62, 4 Zn 2.62

Calculated values
Its space group is F-43m, No. 216. For the polymorph energy (0 for the lowest one), the calculation gives 241 meV/atom.


Record 6
Entry from OQMD: ZnCoIrW after structural relaxation (PBE-GGA).

a = 4.2927 Å, b = 4.2927 Å, c = 4.2927 Å
α = 60.00°, β = 60.00°, γ = 60.00°
Closest atoms and distances in Å follow each position.
Sites, in units of the cell vectors:
Zn (0.0000, 0.0000, 0.0000)  4 Co 2.63, 4 Ir 2.63
Co (0.2500, 0.2500, 0.2500)  4 W 2.63, 4 Zn 2.63
Ir (0.7500, 0.7500, 0.7500)  4 W 2.63, 4 Zn 2.63
W (0.5000, 0.5000, 0.5000)  4 Ir 2.63, 4 Co 2.63

Calculated values
Its space group is F-43m, No. 216. For the polymorph energy (0 for the lowest one), the calculation gives 0 meV/atom.